This record from Alexandria describes crystalline AcIr4 at its relaxed geometry. The functional is PBE-GGA.

The calculation puts the electronic total energy at -25.367 eV per cell. The calculation puts the total magnetization at 2.7 μB/f.u. As for the crystal system: cubic. As for the formation energy: 14.19 eV/f.u. As for the calculated volume: 126.3 Å³/f.u.

It has space group Pm-3m (No. 221), with a = 5.0170 Å, b = 5.0170 Å, c = 5.0170 Å, α = 90.00°, β = 90.00° and γ = 90.00°. The inequivalent atoms are Ac at (0.0000, 0.0000, 0.0000), Ir at (0.0000, 0.0000, 0.5000) and Ir at (0.5000, 0.5000, 0.5000).